Record 1
ScHgPd2, optimized geometry, DFT PBE; symmetry = No. 123; electronic total energy = -4.84 eV per atom; ΔE_f = -0.59 eV per atom
1.0
4.2495 0.0000 0.0000
0.0000 4.2495 0.0000
0.0000 0.0000 3.9401
Sc Hg Pd
1 1 2
Cartesian
0.0000 0.0000 0.0000 Sc
2.1247 2.1247 0.0000 Hg
0.0000 2.1247 1.9700 Pd
2.1247 0.0000 1.9700 Pd

Record 2
Ce6Fe2Ge, optimized geometry, DFT PBE; symmetry = No. 12; electronic total energy = -6.59 eV per atom; ΔE_f = -0.24 eV per atom
1.0
4.9182 -2.4564 0.0000
4.9182 2.4564 0.0000
-0.9962 0.0000 8.4432
Ce Fe Ge
6 2 1
Cartesian
0.1658 0.0000 3.0199 Ce
2.1216 0.0000 7.4800 Ce
3.5069 0.0000 2.8401 Ce
5.3332 0.0000 5.6031 Ce
6.7186 0.0000 0.9633 Ce
8.6743 0.0000 5.4234 Ce
2.0355 0.0000 5.3120 Fe
6.8047 0.0000 3.1312 Fe
0.0000 0.0000 0.0000 Ge

Record 3
ZnRe2Se, optimized geometry, DFT PBE; formation energy without anion corrections = 880.2 meV per atom; symmetry = No. 139; electronic total energy = -6.53 eV per atom; offset from the most stable computed form = 0.6836 eV/atom
1.0
3.8286 0.0000 0.0000
0.0000 3.8286 0.0000
0.0000 0.0000 8.5593
Zn Re Se
2 4 2
Cartesian
0.0000 0.0000 0.0000 Zn
1.9143 1.9143 4.2797 Zn
0.0000 1.9143 2.1398 Re
0.0000 1.9143 6.4195 Re
1.9143 0.0000 2.1398 Re
1.9143 0.0000 6.4195 Re
0.0000 0.0000 4.2797 Se
1.9143 1.9143 0.0000 Se

Record 4
BiAsRu2, optimized geometry, DFT PBE; symmetry = No. 122; electronic total energy = -6.30 eV per atom; ΔE_f = 0.47 eV per atom; offset from the most stable computed form = 0.1158 eV/atom
1.0
5.7797 0.0000 0.0000
0.0000 5.7797 0.0000
0.0000 0.0000 11.4694
Bi As Ru
4 4 8
Cartesian
0.0000 0.0000 0.0000 Bi
0.0000 2.8899 2.8674 Bi
2.8899 0.0000 8.6021 Bi
2.8899 2.8899 5.7347 Bi
0.0000 0.0000 5.7347 As
0.0000 2.8899 8.6021 As
2.8899 0.0000 2.8674 As
2.8899 2.8899 0.0000 As
1.1797 1.4449 7.1684 Ru
1.4449 4.0695 10.0358 Ru
1.4449 4.6001 4.3010 Ru
1.7102 1.4449 1.4337 Ru
4.0695 4.3348 1.4337 Ru
4.3348 1.1797 4.3010 Ru
4.3348 1.7102 10.0358 Ru
4.6001 4.3348 7.1684 Ru

Record 5
AcSmCu2Si2, optimized geometry, DFT PBE; formation energy without anion corrections = -587.0 meV per atom; symmetry = No. 164; electronic total energy = -5.23 eV per atom
1.0
4.2617 0.0000 0.0000
-2.1308 3.6907 0.0000
0.0000 0.0000 8.1771
Ac Sm Cu Si
1 1 2 2
Cartesian
0.0000 0.0000 0.0000 Ac
0.0000 0.0000 4.0885 Sm
0.0000 2.4605 5.9313 Cu
2.1309 1.2302 2.2458 Cu
0.0000 2.4605 2.2084 Si
2.1309 1.2302 5.9687 Si

Record 6
Nd2SiGe3, optimized geometry, DFT PBE; formation energy without anion corrections = -575.4 meV per atom; symmetry = No. 25; electronic total energy = -5.38 eV per atom; offset from the most stable computed form = 0.0000 eV/atom
1.0
4.0901 0.0000 0.0000
0.0000 4.1366 0.0000
0.0000 0.0000 8.0654
Nd Si Ge
2 1 3
Cartesian
0.0000 0.0000 0.0000 Nd
2.0450 0.0000 3.8692 Nd
2.0450 2.0683 1.2188 Si
0.0000 2.0683 2.5764 Ge
0.0000 2.0683 5.2208 Ge
2.0450 2.0683 6.7655 Ge

Record 7
LaOsAu2, optimized geometry, DFT PBE; symmetry = No. 119; electronic total energy = -5.58 eV per atom; ΔE_f = 0.09 eV per atom
1.0
4.3222 0.0000 0.0000
0.0000 4.3222 0.0000
0.0000 0.0000 8.7079
La Os Au
2 2 4
Cartesian
0.0000 0.0000 0.0000 La
2.1611 2.1611 4.3539 La
0.0000 2.1611 6.5309 Os
2.1611 0.0000 2.1770 Os
0.0000 0.0000 4.3539 Au
0.0000 2.1611 2.1770 Au
2.1611 0.0000 6.5309 Au
2.1611 2.1611 0.0000 Au

Record 8
LaCrGa2Se, optimized geometry, DFT PBE; formation energy without anion corrections = 1162.3 meV per atom; symmetry = No. 123; electronic total energy = -3.66 eV per atom
1.0
5.7655 0.0000 0.0000
0.0000 5.7655 0.0000
0.0000 0.0000 4.9553
La Cr Ga Se
1 1 2 1
Cartesian
0.0000 0.0000 0.0000 La
0.0000 0.0000 2.4776 Cr
0.0000 2.8828 0.0000 Ga
2.8828 0.0000 0.0000 Ga
2.8828 2.8828 2.4776 Se

Record 9
K2ZrTe4Au, optimized geometry, DFT PBE; formation energy without anion corrections = -714.1 meV per atom; symmetry = No. 70; electronic total energy = -4.04 eV per atom
1.0
0.0000 7.5427 12.7222
3.1692 0.0000 12.7222
3.1692 7.5427 0.0000
K Zr Te Au
4 2 8 2
Cartesian
2.3769 5.6570 1.4291 K
3.9615 9.4284 7.7901 K
2.3769 5.6570 17.6542 K
3.9615 9.4284 24.0153 K
0.7923 1.8857 3.1805 Zr
5.5461 13.1997 22.2638 Zr
2.3524 3.6172 4.6679 Te
3.9860 7.3886 11.0289 Te
2.4014 7.6968 4.6679 Te
2.4014 3.6172 14.4154 Te
3.9370 11.4682 11.0289 Te
3.9370 7.3886 20.7765 Te
2.3524 7.6968 14.4154 Te
3.9860 11.4682 20.7765 Te
2.3769 5.6570 9.5416 Au
3.9615 9.4284 15.9027 Au

Record 10
Sr2LiPt, optimized geometry, DFT PBE; symmetry = No. 99; electronic total energy = -3.13 eV per atom; ΔE_f = -0.30 eV per atom; offset from the most stable computed form = 0.2148 eV/atom
1.0
3.7344 0.0000 0.0000
0.0000 3.7344 0.0000
0.0000 0.0000 8.4777
Sr Li Pt
2 1 1
Cartesian
0.0000 0.0000 0.0000 Sr
1.8672 1.8672 3.5212 Sr
0.0000 0.0000 5.6781 Li
1.8672 1.8672 6.5909 Pt

Record 11
CdTcPd2Au, optimized geometry, DFT PBE; symmetry = No. 123; electronic total energy = -3.66 eV per atom; ΔE_f = 1.33 eV per atom
1.0
5.0166 0.0000 0.0000
0.0000 5.0166 0.0000
0.0000 0.0000 4.9925
Cd Tc Pd Au
1 1 2 1
Cartesian
0.0000 0.0000 0.0000 Cd
2.5083 2.5083 0.0000 Tc
0.0000 2.5083 2.4963 Pd
2.5083 0.0000 2.4963 Pd
0.0000 0.0000 2.4963 Au

Record 12
LuScAgRu, optimized geometry, DFT PBE; symmetry = No. 216; electronic total energy = -6.17 eV per atom; ΔE_f = -0.43 eV per atom
1.0
6.7482 0.0000 0.0000
0.0000 6.7482 0.0000
0.0000 0.0000 6.7482
Lu Sc Ag Ru
4 4 4 4
Cartesian
0.0000 0.0000 0.0000 Lu
0.0000 3.3741 3.3741 Lu
3.3741 0.0000 3.3741 Lu
3.3741 3.3741 0.0000 Lu
0.0000 0.0000 3.3741 Sc
0.0000 3.3741 0.0000 Sc
3.3741 0.0000 0.0000 Sc
3.3741 3.3741 3.3741 Sc
1.6871 1.6871 1.6871 Ag
1.6871 5.0612 5.0612 Ag
5.0612 1.6871 5.0612 Ag
5.0612 5.0612 1.6871 Ag
1.6871 1.6871 5.0612 Ru
1.6871 5.0612 1.6871 Ru
5.0612 1.6871 1.6871 Ru
5.0612 5.0612 5.0612 Ru

Record 13
PrSm3Dy2, optimized geometry, DFT PBE; symmetry = No. 70; electronic total energy = -4.68 eV per atom; ΔE_f = 0.01 eV per atom; offset from the most stable computed form = 0.0000 eV/atom
1.0
0.0000 5.1091 10.8382
3.6110 0.0000 10.8382
3.6110 5.1091 0.0000
Pr Sm Dy
2 6 4
Cartesian
0.9028 1.2773 2.7096 Pr
6.3193 8.9410 18.9669 Pr
2.7083 3.8319 0.9031 Sm
4.5138 6.3864 6.3222 Sm
2.7083 3.8319 8.1287 Sm
4.5138 6.3864 13.5478 Sm
2.7083 3.8319 15.3542 Sm
4.5138 6.3864 20.7734 Sm
2.7083 3.8319 4.5263 Dy
4.5138 6.3864 9.9454 Dy
2.7083 3.8319 11.7310 Dy
4.5138 6.3864 17.1502 Dy

Record 14
ErPbO, optimized geometry, DFT PBE; formation energy without anion corrections = -1862.5 meV per atom; symmetry = No. 12; electronic total energy = -6.27 eV per atom; offset from the most stable computed form = 0.0000 eV/atom
1.0
10.4567 0.0000 0.0000
0.0000 3.6617 0.0000
-4.1316 0.0000 7.8180
Er Pb O
4 4 4
Cartesian
0.9441 0.0000 2.5859 Er
0.1527 1.8309 5.2321 Er
6.1724 1.8309 2.5859 Er
5.3811 0.0000 5.2321 Er
-2.7251 1.8309 7.1025 Pb
3.8219 0.0000 0.7155 Pb
2.5033 0.0000 7.1025 Pb
9.0502 1.8309 0.7155 Pb
-0.3780 0.0000 4.3078 O
1.4748 1.8309 3.5102 O
4.8504 1.8309 4.3078 O
6.7031 0.0000 3.5102 O

Record 15
Cd5In2Hg2, optimized geometry, DFT PBE; symmetry = No. 46; electronic total energy = -1.15 eV per atom; ΔE_f = 0.04 eV per atom; offset from the most stable computed form = 0.0040 eV/atom
1.0
-9.2841 3.8709 3.1242
9.2841 -3.8709 3.1242
9.2841 3.8709 -3.1242
Cd In Hg
10 4 4
Cartesian
1.6955 1.7831 0.0000 Cd
7.5886 1.7831 0.0000 Cd
3.1366 -0.3928 1.8383 Cd
6.1475 -0.3928 1.8383 Cd
4.6421 2.0606 0.4298 Cd
6.1475 4.2637 -1.2859 Cd
12.4207 0.3928 1.8383 Cd
1.6955 2.0878 3.1242 Cd
7.5886 2.0878 3.1242 Cd
4.6421 1.8103 3.5541 Cd
-1.4065 2.9548 1.5911 In
10.6906 2.9548 1.5911 In
1.4065 4.7870 1.5911 In
-1.4065 0.9161 4.7154 In
0.0000 0.0000 1.7487 Hg
9.2841 0.0000 1.7487 Hg
-4.6421 3.0940 2.0119 Hg
4.6421 4.6478 2.0119 Hg

Record 16
TmScZnHg, optimized geometry, DFT PBE; symmetry = No. 99; electronic total energy = -3.50 eV per atom; ΔE_f = -0.40 eV per atom; offset from the most stable computed form = 0.0000 eV/atom
1.0
3.4839 0.0000 0.0000
0.0000 3.4839 0.0000
0.0000 0.0000 7.1494
Tm Sc Zn Hg
1 1 1 1
Cartesian
0.0000 0.0000 0.0000 Tm
0.0000 0.0000 3.8129 Sc
1.7419 1.7419 5.3573 Zn
1.7419 1.7419 2.0139 Hg

Record 17
BaRu2N, optimized geometry, DFT PBE; formation energy without anion corrections = 219.2 meV per atom; symmetry = No. 122; electronic total energy = -6.98 eV per atom
1.0
6.1712 0.0000 0.0000
0.0000 6.1712 0.0000
0.0000 0.0000 8.7500
Ba Ru N
4 8 4
Cartesian
0.0000 0.0000 0.0000 Ba
0.0000 3.0856 2.1875 Ba
3.0856 0.0000 6.5625 Ba
3.0856 3.0856 4.3750 Ba
0.2664 1.5428 5.4688 Ru
1.5428 3.3520 7.6563 Ru
1.5428 5.9049 3.2813 Ru
2.8192 1.5428 1.0938 Ru
3.3520 4.6284 1.0938 Ru
4.6284 0.2664 3.2813 Ru
4.6284 2.8192 7.6563 Ru
5.9049 4.6284 5.4688 Ru
0.0000 0.0000 4.3750 N
0.0000 3.0856 6.5625 N
3.0856 0.0000 2.1875 N
3.0856 3.0856 0.0000 N

Record 18
Be2HgTe, optimized geometry, DFT PBE; formation energy without anion corrections = 401.4 meV per atom; symmetry = No. 99; electronic total energy = -2.32 eV per atom; offset from the most stable computed form = 0.0632 eV/atom
1.0
3.5720 0.0000 0.0000
0.0000 3.5720 0.0000
0.0000 0.0000 6.2555
Be Hg Te
2 1 1
Cartesian
0.0000 0.0000 0.0000 Be
1.7860 1.7860 2.1350 Be
0.0000 0.0000 2.6404 Hg
1.7860 1.7860 5.9128 Te

Record 19
SmAlPb2Se5, optimized geometry, DFT PBE; formation energy without anion corrections = -998.7 meV per atom; symmetry = No. 36; electronic total energy = -4.70 eV per atom
1.0
2.0532 -9.3736 0.0000
2.0532 9.3736 0.0000
0.0000 0.0000 13.3723
Sm Al Pb Se
2 2 4 10
Cartesian
2.0532 5.7228 6.6862 Sm
2.0532 -5.7228 0.0000 Sm
2.0532 1.0313 11.8471 Al
2.0532 -1.0313 5.1609 Al
2.0532 7.2714 10.7183 Pb
2.0532 6.7039 1.8951 Pb
2.0532 -6.7039 8.5813 Pb
2.0532 -7.2714 4.0322 Pb
2.0532 8.7738 6.5033 Se
2.0532 3.7239 2.0522 Se
2.0532 3.3859 11.2842 Se
2.0532 2.8558 6.5072 Se
2.0532 0.1771 3.1258 Se
2.0532 -0.1771 9.8119 Se
2.0532 -2.8558 13.1933 Se
2.0532 -3.3859 4.5980 Se
2.0532 -3.7239 8.7383 Se
2.0532 -8.7738 13.1895 Se

Record 20
HgSb2Te2I2, optimized geometry, DFT PBE; formation energy without anion corrections = -39.7 meV per atom; symmetry = No. 2; electronic total energy = -2.60 eV per atom
1.0
6.2685 0.0000 0.0000
2.8853 6.3008 0.0000
0.1247 1.1830 6.8390
Hg Sb Te I
1 2 2 2
Cartesian
0.0000 0.0000 0.0000 Hg
3.4611 3.9450 1.4480 Sb
5.8174 3.5387 5.3910 Sb
3.0966 3.3039 6.1772 Te
6.1820 4.1798 0.6618 Te
4.5175 6.8400 3.4177 I
4.7610 0.6437 3.4213 I

Record 21
PmZr2Re, optimized geometry, DFT PBE; symmetry = No. 123; electronic total energy = -8.60 eV per atom; ΔE_f = -0.03 eV per atom
1.0
3.3488 0.0000 0.0000
0.0000 3.3488 0.0000
0.0000 0.0000 8.2908
Pm Zr Re
1 2 1
Cartesian
0.0000 0.0000 0.0000 Pm
1.6744 1.6744 2.5808 Zr
1.6744 1.6744 5.7100 Zr
0.0000 0.0000 4.1454 Re

Record 22
TlGaF6, optimized geometry, DFT PBE; formation energy without anion corrections = -2201.5 meV per atom; symmetry = No. 163; electronic total energy = -4.28 eV per atom; offset from the most stable computed form = 0.0071 eV/atom
1.0
5.1746 0.0000 0.0000
-2.5873 4.4814 0.0000
0.0000 0.0000 9.6435
Tl Ga F
2 2 12
Cartesian
0.0000 2.9876 2.4109 Tl
2.5873 1.4938 7.2326 Tl
0.0000 0.0000 0.0000 Ga
0.0000 0.0000 4.8217 Ga
-0.7580 1.3755 1.1120 F
-1.7751 3.1372 3.7098 F
0.7580 1.3755 3.7098 F
-1.0171 4.4500 1.1120 F
1.5702 0.0313 5.9337 F
0.8123 1.3442 8.5315 F
1.7751 3.1372 1.1120 F
1.0171 4.4500 3.7098 F
3.6044 0.0313 8.5315 F
1.8294 3.1058 5.9337 F
4.3624 1.3442 5.9337 F
3.3453 3.1058 8.5315 F

Record 23
GaGeSb3, optimized geometry, DFT PBE; formation energy without anion corrections = 619.8 meV per atom; symmetry = No. 221; electronic total energy = -3.38 eV per atom; offset from the most stable computed form = 0.0000 eV/atom
1.0
5.3972 0.0000 0.0000
0.0000 5.3972 0.0000
0.0000 0.0000 5.3972
Ga Ge Sb
1 1 3
Cartesian
0.0000 0.0000 0.0000 Ga
2.6986 2.6986 2.6986 Ge
0.0000 2.6986 2.6986 Sb
2.6986 0.0000 2.6986 Sb
2.6986 2.6986 0.0000 Sb

Record 24
PrGdP, optimized geometry, DFT PBE; symmetry = No. 216; electronic total energy = -8.94 eV per atom; ΔE_f = -0.85 eV per atom; offset from the most stable computed form = 0.1037 eV/atom
1.0
6.8478 0.0000 0.0000
0.0000 6.8478 0.0000
0.0000 0.0000 6.8478
Pr Gd P
4 4 4
Cartesian
0.0000 0.0000 0.0000 Pr
0.0000 3.4239 3.4239 Pr
3.4239 0.0000 3.4239 Pr
3.4239 3.4239 0.0000 Pr
0.0000 0.0000 3.4239 Gd
0.0000 3.4239 0.0000 Gd
3.4239 0.0000 0.0000 Gd
3.4239 3.4239 3.4239 Gd
1.7119 1.7119 5.1358 P
1.7119 5.1358 1.7119 P
5.1358 1.7119 1.7119 P
5.1358 5.1358 5.1358 P

Record 25
LuScMnAl, optimized geometry, DFT PBE; symmetry = No. 216; electronic total energy = -6.06 eV per atom; ΔE_f = -0.12 eV per atom
1.0
6.8732 0.0000 0.0000
0.0000 6.8732 0.0000
0.0000 0.0000 6.8732
Lu Sc Mn Al
4 4 4 4
Cartesian
0.0000 0.0000 0.0000 Lu
0.0000 3.4366 3.4366 Lu
3.4366 0.0000 3.4366 Lu
3.4366 3.4366 0.0000 Lu
0.0000 0.0000 3.4366 Sc
0.0000 3.4366 0.0000 Sc
3.4366 0.0000 0.0000 Sc
3.4366 3.4366 3.4366 Sc
1.7183 1.7183 1.7183 Mn
1.7183 5.1549 5.1549 Mn
5.1549 1.7183 5.1549 Mn
5.1549 5.1549 1.7183 Mn
1.7183 1.7183 5.1549 Al
1.7183 5.1549 1.7183 Al
5.1549 1.7183 1.7183 Al
5.1549 5.1549 5.1549 Al

Record 26
TbEr, optimized geometry, DFT PBE; symmetry = No. 221; electronic total energy = -4.46 eV per atom; ΔE_f = 0.13 eV per atom; offset from the most stable computed form = 0.1269 eV/atom
1.0
3.9786 0.0000 0.0000
0.0000 3.9786 0.0000
0.0000 0.0000 3.9786
Tb Er
1 1
Cartesian
0.0000 0.0000 0.0000 Tb
1.9893 1.9893 1.9893 Er